Material: Ba2Pd3Br2O4
Method: DFT, PBE
State: optimized geometry

Cell lengths 8.1812, 8.1812, 8.1812 Å; angles 138.20, 138.20, 60.59 degrees
Positions (direct):
Ba  0.3622  0.3622  0.0000
Ba  0.6378  0.6378  0.0000
Br  0.7500  0.2500  0.5000
Br  0.2500  0.7500  0.5000
O  0.7514  0.2486  0.0000
O  0.2486  0.7514  0.0000
O  0.2486  0.2486  0.4971
O  0.7514  0.7514  0.5029
Pd  0.0000  0.0000  0.0000
Pd  0.5000  0.0000  0.5000
Pd  0.0000  0.5000  0.5000

- Space group: I4/mmm (139)
- Uncorrected energy: -55.9 eV per cell